A crystal of Li2In2Hg relaxed with PBEsol. Source: the Alexandria database, functional meta-GGA SCAN.

Cell: 7.688 7.688 3.430 Å, 90.00 90.00 90.00°
Space group P4/mbm (No. 127)
One atom of each set of equivalent atoms:
Li 0.161 0.339 0.000
In 0.139 0.639 0.500
Hg 0.000 0.000 0.500

formation energy: -0.2640 eV/atom
volume: 20.27 A^3/atom
M_tot: 0.00 μB/f.u.

=====

A crystal of LiIn2Hg2 relaxed with PBEsol. Source: the Alexandria database, functional meta-GGA SCAN.

Cell: 7.725 7.725 3.993 Å, 90.00 90.00 90.00°
Space group P4/mbm (No. 127)
One atom of each set of equivalent atoms:
Li 0.000 0.000 0.000
In 0.160 0.340 0.500
Hg 0.145 0.645 0.000

formation energy: -0.1164 eV/atom
volume: 23.83 A^3/atom
M_tot: 0.00 μB/f.u.